# GGA-PBE CoCu2Re, relaxed
data_CoCu2Re
_cell_length_a 2.558
_cell_length_b 2.558
_cell_length_c 7.736
_cell_angle_alpha 90.00
_cell_angle_beta 90.00
_cell_angle_gamma 90.00
_space_group_name_H-M_alt 'P 4/m m m'
_space_group_IT_number 123
_space_group_name_Hall '-P 4 2'
loop_
_atom_site_label
_atom_site_type_symbol
_atom_site_fract_x
_atom_site_fract_y
_atom_site_fract_z
Co1 Co 0.000 0.000 0.000
Cu1 Cu 0.500 0.500 0.237
Re1 Re 0.000 0.000 0.500
# * ρ: 12.21 Mg/m³
# * DFT formation energy: 287.6 meV/atom

# GGA-PBE Co2CuReSe, relaxed
data_Co2CuReSe
_cell_length_a 4.475
_cell_length_b 4.475
_cell_length_c 4.704
_cell_angle_alpha 90.00
_cell_angle_beta 90.00
_cell_angle_gamma 90.00
_space_group_name_H-M_alt 'P 4/m m m'
_space_group_IT_number 123
_space_group_name_Hall '-P 4 2'
loop_
_atom_site_label
_atom_site_type_symbol
_atom_site_fract_x
_atom_site_fract_y
_atom_site_fract_z
Co1 Co 0.000 0.500 0.000
Cu1 Cu 0.000 0.000 0.500
Re1 Re 0.000 0.000 0.000
Se1 Se 0.500 0.500 0.500
# * ρ: 7.87 Mg/m³
# * uncorrected formation energy: 1520 meV per atom

# GGA-PBE CoCu2ReSn, relaxed
data_CoCu2ReSn
_cell_length_a 4.346
_cell_length_b 4.346
_cell_length_c 4.625
_cell_angle_alpha 90.00
_cell_angle_beta 90.00
_cell_angle_gamma 90.00
_space_group_name_H-M_alt 'P 4/m m m'
_space_group_IT_number 123
_space_group_name_Hall '-P 4 2'
loop_
_atom_site_label
_atom_site_type_symbol
_atom_site_fract_x
_atom_site_fract_y
_atom_site_fract_z
Co1 Co 0.000 0.000 0.000
Cu1 Cu 0.000 0.500 0.000
Re1 Re 0.500 0.500 0.500
Sn1 Sn 0.000 0.000 0.500
# * ρ: 9.33 Mg/m³
# * DFT formation energy: 1350.4 meV/atom

# GGA-PBE TaCo2CuRe, relaxed
data_TaCo2CuRe
_cell_length_a 4.147
_cell_length_b 4.147
_cell_length_c 4.556
_cell_angle_alpha 90.00
_cell_angle_beta 90.00
_cell_angle_gamma 90.00
_space_group_name_H-M_alt 'P 4/m m m'
_space_group_IT_number 123
_space_group_name_Hall '-P 4 2'
loop_
_atom_site_label
_atom_site_type_symbol
_atom_site_fract_x
_atom_site_fract_y
_atom_site_fract_z
Ta1 Ta 0.000 0.000 0.000
Co1 Co 0.000 0.500 0.500
Cu1 Cu 0.000 0.000 0.500
Re1 Re 0.500 0.500 0.000
# * ρ: 11.63 Mg/m³
# * DFT formation energy: 1394.9 meV/atom

# GGA-PBE TaCo2CuRe, relaxed
data_TaCo2CuRe
_cell_length_a 4.161
_cell_length_b 4.161
_cell_length_c 4.506
_cell_angle_alpha 90.00
_cell_angle_beta 90.00
_cell_angle_gamma 90.00
_space_group_name_H-M_alt 'P 4/m m m'
_space_group_IT_number 123
_space_group_name_Hall '-P 4 2'
loop_
_atom_site_label
_atom_site_type_symbol
_atom_site_fract_x
_atom_site_fract_y
_atom_site_fract_z
Ta1 Ta 0.000 0.000 0.000
Co1 Co 0.000 0.500 0.500
Cu1 Cu 0.500 0.500 0.500
Re1 Re 0.500 0.500 0.000
# * ρ: 11.68 Mg/m³
# * DFT formation energy: 1270.4 meV/atom

# GGA-PBE Y2CoCuRe, relaxed
data_Y2CoCuRe
_cell_length_a 5.398
_cell_length_b 5.398
_cell_length_c 4.336
_cell_angle_alpha 90.00
_cell_angle_beta 90.00
_cell_angle_gamma 90.00
_space_group_name_H-M_alt 'P 4/m m m'
_space_group_IT_number 123
_space_group_name_Hall '-P 4 2'
loop_
_atom_site_label
_atom_site_type_symbol
_atom_site_fract_x
_atom_site_fract_y
_atom_site_fract_z
Y1 Y 0.000 0.500 0.000
Co1 Co 0.000 0.000 0.500
Cu1 Cu 0.500 0.500 0.500
Re1 Re 0.000 0.000 0.000
# * ρ: 6.39 Mg/m³
# * DFT formation energy: 706.4 meV/atom

# GGA-PBE CoCu2Rh, relaxed
data_CoCu2Rh
_cell_length_a 6.662
_cell_length_b 6.662
_cell_length_c 4.907
_cell_angle_alpha 90.00
_cell_angle_beta 90.00
_cell_angle_gamma 90.00
_space_group_name_H-M_alt 'I -4 2 d'
_space_group_IT_number 122
_space_group_name_Hall 'I -4 2bw'
loop_
_atom_site_label
_atom_site_type_symbol
_atom_site_fract_x
_atom_site_fract_y
_atom_site_fract_z
Co1 Co 0.000 0.000 0.000
Cu1 Cu 0.233 0.250 0.125
Rh1 Rh 0.000 0.000 0.500
# * ρ: 8.81 Mg/m³
# * DFT formation energy: 540.7 meV/atom

# GGA-PBE Co2CuRh2, relaxed
data_Co2CuRh2
_cell_length_a 7.092
_cell_length_b 7.092
_cell_length_c 2.672
_cell_angle_alpha 90.00
_cell_angle_beta 90.00
_cell_angle_gamma 90.00
_space_group_name_H-M_alt 'P 4/m b m'
_space_group_IT_number 127
_space_group_name_Hall '-P 4 2ab'
loop_
_atom_site_label
_atom_site_type_symbol
_atom_site_fract_x
_atom_site_fract_y
_atom_site_fract_z
Co1 Co 0.121 0.379 0.000
Cu1 Cu 0.000 0.000 0.000
Rh1 Rh 0.174 0.674 0.500
# * ρ: 9.57 Mg/m³
# * DFT formation energy: 228.8 meV/atom

# GGA-PBE Co2CuRh, relaxed
data_Co2CuRh
_cell_length_a 2.6149
_cell_length_b 2.6149
_cell_length_c 25.1043
_cell_angle_alpha 90.00
_cell_angle_beta 90.00
_cell_angle_gamma 120.00
_space_group_name_H-M_alt 'R -3 m'
_space_group_IT_number 166
_space_group_name_Hall '-R 3 2"'
loop_
_atom_site_label
_atom_site_type_symbol
_atom_site_fract_x
_atom_site_fract_y
_atom_site_fract_z
Co1 Co 0.0000 0.0000 0.2491
Cu1 Cu 0.0000 0.0000 0.5000
Rh1 Rh 0.0000 0.0000 0.0000
# * ρ: 9.53 Mg/m³
# * DFT formation energy: 146.9 meV/atom

# GGA-PBE CoCu2Rh, relaxed
data_CoCu2Rh
_cell_length_a 2.6112
_cell_length_b 2.6112
_cell_length_c 25.4655
_cell_angle_alpha 90.00
_cell_angle_beta 90.00
_cell_angle_gamma 120.00
_space_group_name_H-M_alt 'R 3 m'
_space_group_IT_number 160
_space_group_name_Hall 'R 3 -2"'
loop_
_atom_site_label
_atom_site_type_symbol
_atom_site_fract_x
_atom_site_fract_y
_atom_site_fract_z
Co1 Co 0.0000 0.0000 0.0000
Cu1 Cu 0.0000 0.0000 0.2527
Cu2 Cu 0.0000 0.0000 0.4138
Rh1 Rh 0.0000 0.0000 0.8332
# * ρ: 9.57 Mg/m³
# * DFT formation energy: 134.4 meV/atom

# GGA-PBE CoCu2Rh, relaxed
data_CoCu2Rh
_cell_length_a 2.725
_cell_length_b 4.356
_cell_length_c 8.576
_cell_angle_alpha 90.00
_cell_angle_beta 90.00
_cell_angle_gamma 90.00
_space_group_name_H-M_alt 'C m m 2'
_space_group_IT_number 35
_space_group_name_Hall 'C 2 -2'
loop_
_atom_site_label
_atom_site_type_symbol
_atom_site_fract_x
_atom_site_fract_y
_atom_site_fract_z
Co1 Co 0.000 0.000 0.000
Cu1 Cu 0.000 0.000 0.511
Cu2 Cu 0.000 0.500 0.755
Rh1 Rh 0.000 0.500 0.249
# * ρ: 9.43 Mg/m³
# * DFT formation energy: 164.2 meV/atom

# GGA-PBE CoCuRh5, relaxed
data_CoCuRh5
_cell_length_a 6.576
_cell_length_b 7.120
_cell_length_c 8.878
_cell_angle_alpha 90.00
_cell_angle_beta 108.26
_cell_angle_gamma 90.00
_space_group_name_H-M_alt 'C 1 2/c 1'
_space_group_IT_number 15
_space_group_name_Hall '-C 2yc'
loop_
_atom_site_label
_atom_site_type_symbol
_atom_site_fract_x
_atom_site_fract_y
_atom_site_fract_z
Co1 Co 0.000 0.010 0.250
Cu1 Cu 0.000 0.500 0.000
Rh1 Rh 0.000 0.358 0.250
Rh2 Rh 0.108 0.153 0.538
Rh3 Rh 0.204 0.306 0.842
# * ρ: 10.72 Mg/m³
# * DFT formation energy: 227.1 meV/atom

# GGA-PBE Co2CuRh, relaxed
data_Co2CuRh
_cell_length_a 2.694
_cell_length_b 4.335
_cell_length_c 8.603
_cell_angle_alpha 90.00
_cell_angle_beta 90.00
_cell_angle_gamma 90.00
_space_group_name_H-M_alt 'C m m m'
_space_group_IT_number 65
_space_group_name_Hall '-C 2 2'
loop_
_atom_site_label
_atom_site_type_symbol
_atom_site_fract_x
_atom_site_fract_y
_atom_site_fract_z
Co1 Co 0.000 0.000 0.246
Cu1 Cu 0.000 0.500 0.000
Rh1 Rh 0.000 0.500 0.500
# * ρ: 9.40 Mg/m³
# * DFT formation energy: 232.4 meV/atom

# GGA-PBE CoCu3Rh, relaxed
data_CoCu3Rh
_cell_length_a 4.283
_cell_length_b 4.283
_cell_length_c 4.283
_cell_angle_alpha 90.00
_cell_angle_beta 90.00
_cell_angle_gamma 90.00
_space_group_name_H-M_alt 'P m -3 m'
_space_group_IT_number 221
_space_group_name_Hall '-P 4 2 3'
loop_
_atom_site_label
_atom_site_type_symbol
_atom_site_fract_x
_atom_site_fract_y
_atom_site_fract_z
Co1 Co 0.000 0.000 0.000
Cu1 Cu 0.000 0.000 0.500
Rh1 Rh 0.500 0.500 0.500
# * ρ: 7.45 Mg/m³
# * DFT formation energy: 1127.9 meV/atom

# GGA-PBE CoCuRh6, relaxed
data_CoCuRh6
_cell_length_a 8.491
_cell_length_b 3.789
_cell_length_c 7.610
_cell_angle_alpha 90.00
_cell_angle_beta 116.62
_cell_angle_gamma 90.00
_space_group_name_H-M_alt 'C 1 2/m 1'
_space_group_IT_number 12
_space_group_name_Hall '-C 2y'
loop_
_atom_site_label
_atom_site_type_symbol
_atom_site_fract_x
_atom_site_fract_y
_atom_site_fract_z
Co1 Co 0.000 0.000 0.000
Cu1 Cu 0.000 0.000 0.500
Rh1 Rh 0.001 0.500 0.247
Rh2 Rh 0.249 0.500 0.123
Rh3 Rh 0.250 0.000 0.373
# * ρ: 11.23 Mg/m³
# * DFT formation energy: 35.0 meV/atom

# GGA-PBE Co2CuRh, relaxed
data_Co2CuRh
_cell_length_a 2.609
_cell_length_b 3.670
_cell_length_c 5.107
_cell_angle_alpha 90.00
_cell_angle_beta 90.11
_cell_angle_gamma 90.00
_space_group_name_H-M_alt 'P 1 2/m 1'
_space_group_IT_number 10
_space_group_name_Hall '-P 2y'
loop_
_atom_site_label
_atom_site_type_symbol
_atom_site_fract_x
_atom_site_fract_y
_atom_site_fract_z
Co1 Co 0.000 0.000 0.242
Cu1 Cu 0.500 0.500 0.000
Rh1 Rh 0.500 0.500 0.500
# * ρ: 9.65 Mg/m³
# * DFT formation energy: 114.7 meV/atom

# GGA-PBE CoCu2Rh, relaxed
data_CoCu2Rh
_cell_length_a 5.036
_cell_length_b 8.761
_cell_length_c 2.569
_cell_angle_alpha 90.00
_cell_angle_beta 116.97
_cell_angle_gamma 90.00
_space_group_name_H-M_alt 'C 1 2/m 1'
_space_group_IT_number 12
_space_group_name_Hall '-C 2y'
loop_
_atom_site_label
_atom_site_type_symbol
_atom_site_fract_x
_atom_site_fract_y
_atom_site_fract_z
Co1 Co 0.000 0.000 0.000
Cu1 Cu 0.250 0.250 0.500
Rh1 Rh 0.000 0.500 0.000
# * ρ: 9.50 Mg/m³
# * DFT formation energy: 169.6 meV/atom

# GGA-PBE Co2CuRh, relaxed
data_Co2CuRh
_cell_length_a 8.629
_cell_length_b 2.643
_cell_length_c 4.386
_cell_angle_alpha 90.00
_cell_angle_beta 101.02
_cell_angle_gamma 90.00
_space_group_name_H-M_alt 'C 1 2/m 1'
_space_group_IT_number 12
_space_group_name_Hall '-C 2y'
loop_
_atom_site_label
_atom_site_type_symbol
_atom_site_fract_x
_atom_site_fract_y
_atom_site_fract_z
Co1 Co 0.249 0.000 0.251
Cu1 Cu 0.000 0.000 0.500
Rh1 Rh 0.000 0.500 0.000
# * ρ: 9.62 Mg/m³
# * DFT formation energy: 120.6 meV/atom

# GGA-PBE Co2CuRh, relaxed
data_Co2CuRh
_cell_length_a 4.300
_cell_length_b 4.300
_cell_length_c 2.679
_cell_angle_alpha 90.00
_cell_angle_beta 90.00
_cell_angle_gamma 90.00
_space_group_name_H-M_alt 'P 4/m m m'
_space_group_IT_number 123
_space_group_name_Hall '-P 4 2'
loop_
_atom_site_label
_atom_site_type_symbol
_atom_site_fract_x
_atom_site_fract_y
_atom_site_fract_z
Co1 Co 0.000 0.500 0.000
Cu1 Cu 0.000 0.000 0.500
Rh1 Rh 0.500 0.500 0.500
# * ρ: 9.53 Mg/m³
# * DFT formation energy: 208.2 meV/atom

# GGA-PBE Co2CuRh, relaxed
data_Co2CuRh
_cell_length_a 5.149
_cell_length_b 7.305
_cell_length_c 2.603
_cell_angle_alpha 90.00
_cell_angle_beta 90.00
_cell_angle_gamma 90.00
_space_group_name_H-M_alt 'C m m m'
_space_group_IT_number 65
_space_group_name_Hall '-C 2 2'
loop_
_atom_site_label
_atom_site_type_symbol
_atom_site_fract_x
_atom_site_fract_y
_atom_site_fract_z
Co1 Co 0.250 0.250 0.000
Cu1 Cu 0.000 0.000 0.500
Rh1 Rh 0.000 0.500 0.500
# * ρ: 9.64 Mg/m³
# * DFT formation energy: 116.9 meV/atom